(1)
The following is a DFT calculation (GGA-PBE) of a relaxed LiTc2Br crystal.

Properties
- Electronic total energy: -20.57 eV per cell
- Relative energy among the computed polymorphs: 900.3 meV/atom
- Calculated volume: 16.19 Å³/atom
- Formation energy without anion corrections: 0.936 eV/atom

Lattice parameters (Å, degrees): 2.778 2.778 9.340 90.00 90.00 115.99
Element x y z (fractional)
Li (0.000, 0.000, 0.000)
Tc (0.500, 0.500, 0.249)
Tc (0.500, 0.500, 0.751)
Br (0.000, 0.000, 0.500)



(2)
The following is a DFT calculation (GGA-PBE) of a relaxed MnVB4 crystal.

Properties
- Electronic total energy: -47.89 eV per cell
- ΔH_f (0 K): -46.4 kJ/mol of atoms
- Calculated volume: 7.73 Å³/atom

Lattice parameters (Å, degrees): 5.612 5.612 5.612 149.14 149.14 44.21
Element x y z (fractional)
Mn (0.000, 0.000, 0.000)
V (0.750, 0.250, 0.500)
B (0.166, 0.666, 0.500)
B (0.334, 0.834, 0.500)
B (0.418, 0.418, 0.000)
B (0.582, 0.582, 0.000)



(3)
The following is a DFT calculation (GGA-PBE) of a relaxed ScBi3Te crystal.

Properties
- Electronic total energy: -17.72 eV per cell
- Relative energy among the computed polymorphs: 426.3 meV/atom
- Calculated volume: 38.97 Å³/atom
- Formation energy without anion corrections: 0.680 eV/atom

Lattice parameters (Å, degrees): 5.797 5.797 5.797 90.00 90.00 90.00
Element x y z (fractional)
Sc (0.000, 0.000, 0.000)
Bi (0.000, 0.500, 0.500)
Bi (0.500, 0.000, 0.500)
Bi (0.500, 0.500, 0.000)
Te (0.500, 0.500, 0.500)



(4)
The following is a DFT calculation (GGA-PBE) of a relaxed Nd2Cu3Ge4Rh crystal.

Properties
- Electronic total energy: -53.40 eV per cell
- ΔH_f (0 K): -55.5 kJ/mol of atoms
- Calculated volume: 18.06 Å³/atom

Lattice parameters (Å, degrees): 4.195 4.195 10.262 90.00 90.00 90.00
Element x y z (fractional)
Nd (0.000, 0.500, 0.249)
Nd (0.500, 0.000, 0.751)
Cu (0.000, 0.000, 0.000)
Cu (0.000, 0.500, 0.632)
Cu (0.500, 0.000, 0.368)
Ge (0.000, 0.000, 0.500)
Ge (0.000, 0.500, 0.869)
Ge (0.500, 0.000, 0.131)
Ge (0.500, 0.500, 0.500)
Rh (0.500, 0.500, 0.000)